Sr10Fe4CoMo5O30 | GGA+U | optimized geometry

Unit cell a=8.018 b=9.785 c=9.881 alpha=81.18 beta=66.07 gamma=65.87
Space group P-1 (No. 2)
Symmetry-distinct sites (fractional):
Sr 0.047 0.102 0.298 (multiplicity 2)
Sr 0.144 0.303 0.902 (multiplicity 2)
Sr 0.254 0.499 0.499 (multiplicity 2)
Sr 0.357 0.692 0.096 (multiplicity 2)
Sr 0.450 0.896 0.700 (multiplicity 2)
Fe 0.197 0.402 0.201 (multiplicity 2)
Fe 0.401 0.800 0.398 (multiplicity 2)
Co 0.000 0.000 0.000 (multiplicity 1)
Mo 0.098 0.199 0.601 (multiplicity 2)
Mo 0.298 0.602 0.799 (multiplicity 2)
Mo 0.500 0.000 0.000 (multiplicity 1)
O 0.001 0.601 0.305 (multiplicity 2)
O 0.020 0.638 0.817 (multiplicity 2)
O 0.051 0.105 0.792 (multiplicity 2)
O 0.148 0.298 0.406 (multiplicity 2)
O 0.168 0.758 0.377 (multiplicity 2)
O 0.192 0.794 0.898 (multiplicity 2)
O 0.193 0.013 0.501 (multiplicity 2)
O 0.238 0.033 0.014 (multiplicity 2)
O 0.249 0.501 0.004 (multiplicity 2)
O 0.347 0.702 0.601 (multiplicity 2)
O 0.361 0.165 0.585 (multiplicity 2)
O 0.394 0.193 0.101 (multiplicity 2)
O 0.398 0.411 0.710 (multiplicity 2)
O 0.425 0.427 0.218 (multiplicity 2)
O 0.451 0.901 0.191 (multiplicity 2)

## Properties
* E: -6.789 eV/atom
* magnetization: 22.99 μB/f.u.



Sr20Fe3Co7Mo10O60 | GGA+U | optimized geometry

Unit cell a=9.787 b=11.275 c=12.639 alpha=102.56 beta=97.33 gamma=107.06
Space group P1 (No. 1)
Symmetry-distinct sites (fractional):
Sr 0.000 0.000 0.000 (multiplicity 1)
Sr 0.001 0.492 0.999 (multiplicity 1)
Sr 0.092 0.945 0.694 (multiplicity 1)
Sr 0.094 0.438 0.696 (multiplicity 1)
Sr 0.194 0.896 0.400 (multiplicity 1)
Sr 0.200 0.398 0.400 (multiplicity 1)
Sr 0.292 0.840 0.099 (multiplicity 1)
Sr 0.295 0.345 0.098 (multiplicity 1)
Sr 0.397 0.293 0.796 (multiplicity 1)
Sr 0.399 0.796 0.799 (multiplicity 1)
Sr 0.487 0.740 0.495 (multiplicity 1)
Sr 0.491 0.244 0.495 (multiplicity 1)
Sr 0.587 0.693 0.200 (multiplicity 1)
Sr 0.596 0.198 0.201 (multiplicity 1)
Sr 0.694 0.642 0.896 (multiplicity 1)
Sr 0.702 0.147 0.894 (multiplicity 1)
Sr 0.796 0.597 0.600 (multiplicity 1)
Sr 0.799 0.099 0.600 (multiplicity 1)
Sr 0.897 0.046 0.298 (multiplicity 1)
Sr 0.900 0.546 0.298 (multiplicity 1)
Fe 0.145 0.169 0.547 (multiplicity 1)
Fe 0.343 0.069 0.948 (multiplicity 1)
Fe 0.946 0.771 0.149 (multiplicity 1)
Co 0.145 0.670 0.549 (multiplicity 1)
Co 0.346 0.569 0.948 (multiplicity 1)
Co 0.544 0.971 0.348 (multiplicity 1)
Co 0.546 0.470 0.348 (multiplicity 1)
Co 0.747 0.369 0.748 (multiplicity 1)
Co 0.747 0.871 0.748 (multiplicity 1)
Co 0.946 0.270 0.148 (multiplicity 1)
Mo 0.046 0.719 0.845 (multiplicity 1)
Mo 0.047 0.218 0.847 (multiplicity 1)
Mo 0.244 0.619 0.250 (multiplicity 1)
Mo 0.247 0.121 0.249 (multiplicity 1)
Mo 0.443 0.017 0.647 (multiplicity 1)
Mo 0.448 0.519 0.650 (multiplicity 1)
Mo 0.647 0.420 0.048 (multiplicity 1)
Mo 0.647 0.920 0.046 (multiplicity 1)
Mo 0.840 0.821 0.449 (multiplicity 1)
Mo 0.849 0.323 0.448 (multiplicity 1)
O 0.007 0.986 0.498 (multiplicity 1)
O 0.012 0.484 0.502 (multiplicity 1)
O 0.014 0.737 0.999 (multiplicity 1)
O 0.017 0.237 0.001 (multiplicity 1)
O 0.069 0.953 0.192 (multiplicity 1)
O 0.077 0.197 0.684 (multiplicity 1)
O 0.079 0.704 0.695 (multiplicity 1)
O 0.080 0.461 0.196 (multiplicity 1)
O 0.102 0.719 0.222 (multiplicity 1)
O 0.116 0.213 0.221 (multiplicity 1)
O 0.176 0.622 0.872 (multiplicity 1)
O 0.186 0.117 0.874 (multiplicity 1)
O 0.212 0.140 0.409 (multiplicity 1)
O 0.212 0.374 0.895 (multiplicity 1)
O 0.214 0.636 0.407 (multiplicity 1)
O 0.218 0.879 0.902 (multiplicity 1)
O 0.276 0.602 0.093 (multiplicity 1)
O 0.279 0.856 0.597 (multiplicity 1)
O 0.282 0.098 0.093 (multiplicity 1)
O 0.283 0.354 0.597 (multiplicity 1)
O 0.304 0.111 0.619 (multiplicity 1)
O 0.315 0.611 0.625 (multiplicity 1)
O 0.372 0.022 0.278 (multiplicity 1)
O 0.381 0.522 0.275 (multiplicity 1)
O 0.405 0.781 0.301 (multiplicity 1)
O 0.415 0.038 0.801 (multiplicity 1)
O 0.419 0.281 0.304 (multiplicity 1)
O 0.419 0.534 0.801 (multiplicity 1)
O 0.474 0.003 0.498 (multiplicity 1)
O 0.479 0.503 0.500 (multiplicity 1)
O 0.480 0.258 0.996 (multiplicity 1)
O 0.482 0.762 0.992 (multiplicity 1)
O 0.516 0.515 0.022 (multiplicity 1)
O 0.517 0.019 0.016 (multiplicity 1)
O 0.572 0.923 0.674 (multiplicity 1)
O 0.581 0.424 0.676 (multiplicity 1)
O 0.603 0.178 0.699 (multiplicity 1)
O 0.611 0.936 0.195 (multiplicity 1)
O 0.612 0.680 0.703 (multiplicity 1)
O 0.621 0.440 0.199 (multiplicity 1)
O 0.676 0.402 0.897 (multiplicity 1)
O 0.678 0.664 0.399 (multiplicity 1)
O 0.683 0.903 0.895 (multiplicity 1)
O 0.684 0.163 0.396 (multiplicity 1)
O 0.711 0.918 0.420 (multiplicity 1)
O 0.721 0.420 0.421 (multiplicity 1)
O 0.776 0.324 0.074 (multiplicity 1)
O 0.776 0.820 0.074 (multiplicity 1)
O 0.811 0.077 0.101 (multiplicity 1)
O 0.811 0.841 0.601 (multiplicity 1)
O 0.814 0.582 0.098 (multiplicity 1)
O 0.815 0.337 0.598 (multiplicity 1)
O 0.868 0.801 0.294 (multiplicity 1)
O 0.880 0.303 0.298 (multiplicity 1)
O 0.881 0.563 0.794 (multiplicity 1)
O 0.884 0.057 0.792 (multiplicity 1)
O 0.910 0.315 0.818 (multiplicity 1)
O 0.922 0.819 0.821 (multiplicity 1)
O 0.974 0.730 0.475 (multiplicity 1)
O 0.985 0.228 0.477 (multiplicity 1)

## Properties
* E: -6.687 eV/atom
* magnetization: 19.00 μB/f.u.